Entry 1:
Nd6SmHo2Er: relaxed, GGA-PBE.

The energy of formation is 11 kJ per mole of atoms. The raw total energy is -4.589 eV per atom.

The structure belongs to space group C2/c (No. 15); the cell edges are 9.2966, 15.3136 and 9.6593 Å and the angles 90.00°, 97.19° and 90.00°. The asymmetric unit holds Nd at (0.0614, 0.1780, 0.4452), Nd at (0.0975, 0.3906, 0.6177), Nd at (0.2143, 0.2224, 0.8127), Sm at (0.0000, 0.0277, 0.7500), Ho at (0.2492, 0.4512, 0.9529) and Er at (0.0000, 0.4115, 0.2500).

***

Entry 2:
Nd2Sm3Ho6Er: relaxed, GGA-PBE.

The energy of formation is 1 kJ per mole of atoms. The raw total energy is -4.628 eV per atom.

The structure belongs to space group C2/m (No. 12); the cell edges are 6.1956, 10.7265 and 11.8018 Å and the angles 90.00°, 100.04° and 90.00°. The asymmetric unit holds Nd at (0.0000, 0.1664, 0.0000), Sm at (0.0000, 0.0000, 0.5000), Sm at (0.0000, 0.3334, 0.5000), Ho at (0.2487, 0.5000, 0.7497), Ho at (0.2500, 0.1663, 0.7500) and Er at (0.0000, 0.5000, 0.0000).

***

Entry 3:
NdSm2HoEr4: relaxed, GGA-PBE.

The energy of formation is 41 kJ per mole of atoms. The raw total energy is -4.201 eV per atom.

The structure belongs to space group Imma (No. 74); the cell edges are 6.7937, 11.7730 and 13.2520 Å and the angles 90.00°, 90.00° and 90.00°. The asymmetric unit holds Nd at (0.0000, 0.0000, 0.0000), Sm at (0.0000, 0.0000, 0.5000), Sm at (0.2500, 0.2500, 0.2500), Ho at (0.2500, 0.2500, 0.7500), Er at (0.0000, 0.0028, 0.7498) and Er at (0.2495, 0.2500, 0.5027).

***

Entry 4:
Nd2Sm2HoEr4: relaxed, GGA-PBE.

The energy of formation is 0 kJ per mole of atoms. The raw total energy is -4.642 eV per atom.

The structure belongs to space group C2/m (No. 12); the cell edges are 18.7066, 3.6062 and 9.5885 Å and the angles 90.00°, 115.76° and 90.00°. The asymmetric unit holds Nd at (0.1651, 0.0000, 0.0014), Sm at (0.1470, 0.5000, 0.6623), Ho at (0.0000, 0.5000, 0.0000), Er at (0.0195, 0.0000, 0.3326) and Er at (0.1849, 0.5000, 0.3362).

***

Entry 5:
NdSmHo2Er5: relaxed, GGA-PBE.

The energy of formation is 28 kJ per mole of atoms. The raw total energy is -4.321 eV per atom.

The structure belongs to space group I4/mcm (No. 140); the cell edges are 8.8826, 8.8826 and 14.6666 Å and the angles 90.00°, 90.00° and 90.00°. The asymmetric unit holds Nd at (0.0000, 0.0000, 0.2500), Sm at (0.0000, 0.5000, 0.2500), Ho at (0.1132, 0.3868, 0.0000), Er at (0.0000, 0.0000, 0.0000) and Er at (0.2041, 0.2959, 0.3685).

***

Entry 6:
NdSm2Ho2Er2: relaxed, GGA-PBE.

The energy of formation is 16 kJ per mole of atoms. The raw total energy is -4.472 eV per atom.

The structure belongs to space group C2/m (No. 12); the cell edges are 11.5353, 3.4739 and 11.8592 Å and the angles 90.00°, 102.04° and 90.00°. The asymmetric unit holds Nd at (0.0000, 0.0000, 0.0000), Sm at (0.2049, 0.5000, 0.8673), Ho at (0.0916, 0.5000, 0.2766) and Er at (0.1560, 0.5000, 0.5714).

***

Entry 7:
NdSmHoEr: relaxed, GGA-PBE.

The value obtained for the energy above the lowest structure with this stoichiometry is 95 meV per atom. The energy of formation is 11 kJ per mole of atoms. The raw total energy is -4.542 eV per atom.

The structure belongs to space group F-43m (No. 216); the cell edges are 8.0756, 8.0756 and 8.0756 Å and the angles 90.00°, 90.00° and 90.00°. The asymmetric unit holds Nd at (0.0000, 0.0000, 0.0000), Sm at (0.0000, 0.0000, 0.5000), Ho at (0.2500, 0.2500, 0.2500) and Er at (0.2500, 0.2500, 0.7500).

***

Entry 8:
NdSm6HoEr2: relaxed, GGA-PBE.

The energy of formation is 11 kJ per mole of atoms. The raw total energy is -4.561 eV per atom.

The structure belongs to space group C2/c (No. 15); the cell edges are 9.2549, 15.1597 and 9.5779 Å and the angles 90.00°, 96.65° and 90.00°. The asymmetric unit holds Nd at (0.0000, 0.0294, 0.2500), Sm at (0.0625, 0.1793, 0.9445), Sm at (0.0964, 0.3893, 0.1174), Sm at (0.2147, 0.2247, 0.3159), Ho at (0.0000, 0.4107, 0.7500) and Er at (0.2476, 0.4502, 0.4517).

***

> Which of these has the lowest energy of formation?

Nd2Sm2HoEr4

***

Please write out number 4 again, unchanged.
Nd2Sm2HoEr4: relaxed, GGA-PBE.

The energy of formation is 0 kJ per mole of atoms. The raw total energy is -4.642 eV per atom.

The structure belongs to space group C2/m (No. 12); the cell edges are 18.7066, 3.6062 and 9.5885 Å and the angles 90.00°, 115.76° and 90.00°. The asymmetric unit holds Nd at (0.1651, 0.0000, 0.0014), Sm at (0.1470, 0.5000, 0.6623), Ho at (0.0000, 0.5000, 0.0000), Er at (0.0195, 0.0000, 0.3326) and Er at (0.1849, 0.5000, 0.3362).

***

> Which value of energy of formation does entry 4 give?

0 kJ per mole of atoms